No. 1
Below is a relaxed ScBSb3 crystal, with properties calculated at the PBE level.

Calculated values
* crystal system: cubic
* formation energy without anion corrections: 0.463 eV per atom
* energy above the most stable polymorph in this dataset: 0.000 eV/atom
* spin magnetization: 0.000 μB per atom
* mass density: 6.09 g/cm3

Lattice parameters (Å, degrees): 4.861 4.861 4.861 90.00 90.00 90.00
Element x y z (fractional)
Sc 0.000 0.000 0.000
B 0.500 0.500 0.500
Sb 0.000 0.500 0.500
Sb 0.500 0.000 0.500
Sb 0.500 0.500 0.000

---

No. 2
Below is a relaxed ScBSbTe2 crystal, with properties calculated at the PBE level.

Calculated values
* crystal system: tetragonal
* formation energy without anion corrections: 0.340 eV per atom
* energy above the most stable polymorph in this dataset: 0.000 eV/atom
* spin magnetization: 0.000 μB per atom
* mass density: 6.20 g/cm3

Lattice parameters (Å, degrees): 4.851 4.851 4.923 90.00 90.00 90.00
Element x y z (fractional)
Sc 0.000 0.000 0.000
B 0.500 0.500 0.500
Sb 0.500 0.500 0.000
Te 0.000 0.500 0.500
Te 0.500 0.000 0.500

---

Question: Which of these has the highest formation energy without anion corrections?
Answer: ScBSb3